Here is a geometry-optimized Ba3PuNi2O8 structure from Alexandria. Energies are from PBE with a Hubbard U.

volume: 234 Å³ per cell
uncorrected energy: -94.59 eV/cell

Lattice parameters (Å, degrees): 5.9144 5.9144 7.7297 90.00 90.00 120.00
Space group P-3m1 (No. 164)
Asymmetric unit:
Ba: 0.0000 0.0000 0.0000 [1 per cell]
Ba: 0.3333 0.6667 0.6575 [2 per cell]
Pu: 0.0000 0.0000 0.5000 [1 per cell]
Ni: 0.3333 0.6667 0.2052 [2 per cell]
O: 0.1637 0.3275 0.3409 [6 per cell]
O: 0.3333 0.6667 0.9726 [2 per cell]